The following is a DFT calculation (GGA-PBE) of a geometry-optimized LaPrHo3Sc structure.

Summary:
Energy relative to the elements = 1.15 kcal/mol of atoms
Volume = 381.23 Å³/cell
Total DFT energy (no corrections) = -4.912 eV per atom

abc: 7.918 7.918 10.074
angles: 90.00 90.00 142.87
Sites, in units of the cell vectors:
La  0.002  0.998  0.750
La  0.998  0.002  0.250
Pr  0.500  0.500  0.000
Pr  0.500  0.500  0.500
Ho  0.170  0.830  0.001
Ho  0.170  0.830  0.499
Ho  0.328  0.672  0.750
Ho  0.672  0.328  0.250
Ho  0.830  0.170  0.501
Ho  0.830  0.170  0.999
Sc  0.330  0.670  0.250
Sc  0.670  0.330  0.750